Version i
The following is a GGA-PBE calculation of a relaxed structure of SmErGe2Ir, from OQMD via LeMat-Bulk.

```
data_SmErGe2Ir
_symmetry_space_group_name_H-M 'P 1'
_symmetry_Int_Tables_number 1
_symmetry_space_group_name_Hall 'P 1'
_cell_length_a 5.736
_cell_length_b 5.736
_cell_length_c 10.414
_cell_angle_alpha 115.04
_cell_angle_beta 115.04
_cell_angle_gamma 44.14
loop_
_atom_site_label
_atom_site_type_symbol
_atom_site_fract_x
_atom_site_fract_y
_atom_site_fract_z
Er1 Er 0.812 0.812 0.381
Er2 Er 0.188 0.188 0.619
Ge1 Ge 0.650 0.650 0.055
Ge2 Ge 0.521 0.521 0.387
Ge3 Ge 0.479 0.479 0.613
Ge4 Ge 0.350 0.350 0.945
Ir1 Ir 0.273 0.273 0.168
Ir2 Ir 0.727 0.727 0.832
Sm1 Sm 0.993 0.993 0.172
Sm2 Sm 0.007 0.007 0.828
```

## Properties
**Magnetization**: 0.0 μB/f.u.

***

Version ii
The following is a GGA-PBE calculation of a relaxed structure of SmErGe2Ir, from OQMD via LeMat-Bulk.

```
data_SmErGe2Ir
_symmetry_space_group_name_H-M 'P 1'
_symmetry_Int_Tables_number 1
_symmetry_space_group_name_Hall 'P 1'
_cell_length_a 5.706
_cell_length_b 5.706
_cell_length_c 10.348
_cell_angle_alpha 114.68
_cell_angle_beta 114.68
_cell_angle_gamma 44.59
loop_
_atom_site_label
_atom_site_type_symbol
_atom_site_fract_x
_atom_site_fract_y
_atom_site_fract_z
Er1 Er 0.010 0.010 0.333
Er2 Er 0.990 0.990 0.667
Ge1 Ge 0.483 0.483 0.119
Ge2 Ge 0.354 0.354 0.448
Ge3 Ge 0.646 0.646 0.552
Ge4 Ge 0.517 0.517 0.881
Ir1 Ir 0.730 0.730 0.341
Ir2 Ir 0.270 0.270 0.659
Sm1 Sm 0.192 0.192 0.118
Sm2 Sm 0.808 0.808 0.882
```

## Properties
**Magnetization**: 0.0 μB/f.u.

***

On energetic grounds, version ii is preferred over the next structure by 0.006 eV/atom.

***

Version i
The following is a GGA-PBE calculation of a relaxed structure of KErGeTe3, from OQMD via LeMat-Bulk.

```
data_KErGeTe3
_symmetry_space_group_name_H-M 'P 1'
_symmetry_Int_Tables_number 1
_symmetry_space_group_name_Hall 'P 1'
_cell_length_a 8.127
_cell_length_b 8.127
_cell_length_c 11.952
_cell_angle_alpha 90.00
_cell_angle_beta 90.00
_cell_angle_gamma 147.00
loop_
_atom_site_label
_atom_site_type_symbol
_atom_site_fract_x
_atom_site_fract_y
_atom_site_fract_z
Er1 Er 0.500 0.500 0.000
Er2 Er 0.500 0.500 0.500
Ge1 Ge 0.964 0.036 0.250
Ge2 Ge 0.036 0.964 0.750
K1 K 0.254 0.746 0.250
K2 K 0.746 0.254 0.750
Te1 Te 0.869 0.131 0.045
Te2 Te 0.571 0.429 0.250
Te3 Te 0.869 0.131 0.455
Te4 Te 0.131 0.869 0.545
Te5 Te 0.429 0.571 0.750
Te6 Te 0.131 0.869 0.955
```

## Properties
**Magnetization**: 0.0 μB/f.u.

***

Version ii
The following is a GGA-PBE calculation of a relaxed structure of KErGeTe3, from OQMD via LeMat-Bulk.

```
data_KErGeTe3
_symmetry_space_group_name_H-M 'P 1'
_symmetry_Int_Tables_number 1
_symmetry_space_group_name_Hall 'P 1'
_cell_length_a 9.169
_cell_length_b 4.278
_cell_length_c 11.626
_cell_angle_alpha 90.00
_cell_angle_beta 109.64
_cell_angle_gamma 90.00
loop_
_atom_site_label
_atom_site_type_symbol
_atom_site_fract_x
_atom_site_fract_y
_atom_site_fract_z
Er1 Er 0.133 0.750 0.160
Er2 Er 0.867 0.250 0.840
Ge1 Ge 0.381 0.250 0.448
Ge2 Ge 0.619 0.750 0.552
K1 K 0.729 0.750 0.279
K2 K 0.271 0.250 0.721
Te1 Te 0.884 0.250 0.106
Te2 Te 0.390 0.250 0.218
Te3 Te 0.168 0.750 0.434
Te4 Te 0.832 0.250 0.566
Te5 Te 0.610 0.750 0.782
Te6 Te 0.116 0.750 0.894
```

## Properties
**Magnetization**: 0.0 μB/f.u.

***

On energetic grounds, version ii is preferred over the next structure by 0.110 eV/atom.

***

Version i
The following is a GGA-PBE calculation of a relaxed structure of ErLuGe2Os, from OQMD via LeMat-Bulk.

```
data_ErLuGe2Os
_symmetry_space_group_name_H-M 'P 1'
_symmetry_Int_Tables_number 1
_symmetry_space_group_name_Hall 'P 1'
_cell_length_a 5.720
_cell_length_b 5.720
_cell_length_c 9.988
_cell_angle_alpha 115.60
_cell_angle_beta 115.60
_cell_angle_gamma 43.85
loop_
_atom_site_label
_atom_site_type_symbol
_atom_site_fract_x
_atom_site_fract_y
_atom_site_fract_z
Er1 Er 0.185 0.185 0.115
Er2 Er 0.815 0.815 0.885
Ge1 Ge 0.485 0.485 0.125
Ge2 Ge 0.360 0.360 0.438
Ge3 Ge 0.640 0.640 0.562
Ge4 Ge 0.515 0.515 0.875
Lu1 Lu 0.997 0.997 0.327
Lu2 Lu 0.003 0.003 0.673
Os1 Os 0.732 0.732 0.368
Os2 Os 0.268 0.268 0.632
```

## Properties
**Magnetization**: 0.0 μB/f.u.

***

Version ii
The following is a GGA-PBE calculation of a relaxed structure of ErLuGe2Os, from OQMD via LeMat-Bulk.

```
data_ErLuGe2Os
_symmetry_space_group_name_H-M 'P 1'
_symmetry_Int_Tables_number 1
_symmetry_space_group_name_Hall 'P 1'
_cell_length_a 5.736
_cell_length_b 5.736
_cell_length_c 10.005
_cell_angle_alpha 115.85
_cell_angle_beta 115.85
_cell_angle_gamma 43.68
loop_
_atom_site_label
_atom_site_type_symbol
_atom_site_fract_x
_atom_site_fract_y
_atom_site_fract_z
Er1 Er 0.996 0.996 0.325
Er2 Er 0.004 0.004 0.675
Ge1 Ge 0.485 0.485 0.123
Ge2 Ge 0.358 0.358 0.439
Ge3 Ge 0.642 0.642 0.561
Ge4 Ge 0.515 0.515 0.877
Lu1 Lu 0.184 0.184 0.116
Lu2 Lu 0.816 0.816 0.884
Os1 Os 0.730 0.730 0.366
Os2 Os 0.270 0.270 0.634
```

## Properties
**Magnetization**: 0.0 μB/f.u.

***

On energetic grounds, version i is preferred over the next structure by 0.013 eV/atom.

***

Version i
The following is a GGA-PBE calculation of a relaxed structure of ErLuSiGeOs, from OQMD via LeMat-Bulk.

```
data_ErLuSiGeOs
_symmetry_space_group_name_H-M 'P 1'
_symmetry_Int_Tables_number 1
_symmetry_space_group_name_Hall 'P 1'
_cell_length_a 5.702
_cell_length_b 5.702
_cell_length_c 9.859
_cell_angle_alpha 115.87
_cell_angle_beta 115.87
_cell_angle_gamma 43.92
loop_
_atom_site_label
_atom_site_type_symbol
_atom_site_fract_x
_atom_site_fract_y
_atom_site_fract_z
Er1 Er 0.816 0.816 0.391
Er2 Er 0.184 0.184 0.609
Ge1 Ge 0.640 0.640 0.063
Ge2 Ge 0.360 0.360 0.937
Lu1 Lu 0.004 0.004 0.178
Lu2 Lu 0.996 0.996 0.822
Os1 Os 0.273 0.273 0.136
Os2 Os 0.727 0.727 0.864
Si1 Si 0.505 0.505 0.376
Si2 Si 0.495 0.495 0.624
```

## Properties
**Magnetization**: 0.0 μB/f.u.

***

Version ii
The following is a GGA-PBE calculation of a relaxed structure of ErLuSiGeOs, from OQMD via LeMat-Bulk.

```
data_ErLuSiGeOs
_symmetry_space_group_name_H-M 'P 1'
_symmetry_Int_Tables_number 1
_symmetry_space_group_name_Hall 'P 1'
_cell_length_a 5.726
_cell_length_b 5.726
_cell_length_c 9.858
_cell_angle_alpha 116.16
_cell_angle_beta 116.16
_cell_angle_gamma 43.71
loop_
_atom_site_label
_atom_site_type_symbol
_atom_site_fract_x
_atom_site_fract_y
_atom_site_fract_z
Er1 Er 0.993 0.993 0.319
Er2 Er 0.007 0.007 0.681
Ge1 Ge 0.358 0.358 0.437
Ge2 Ge 0.642 0.642 0.563
Lu1 Lu 0.182 0.182 0.109
Lu2 Lu 0.818 0.818 0.891
Os1 Os 0.726 0.726 0.363
Os2 Os 0.274 0.274 0.637
Si1 Si 0.495 0.495 0.122
Si2 Si 0.505 0.505 0.878
```

## Properties
**Magnetization**: 0.0 μB/f.u.

***

On energetic grounds, version i is preferred over the next structure by 0.009 eV/atom.

***

Version i
The following is a GGA-PBE calculation of a relaxed structure of ErLuSiGeOs, from OQMD via LeMat-Bulk.

```
data_ErLuSiGeOs
_symmetry_space_group_name_H-M 'P 1'
_symmetry_Int_Tables_number 1
_symmetry_space_group_name_Hall 'P 1'
_cell_length_a 5.657
_cell_length_b 5.657
_cell_length_c 9.977
_cell_angle_alpha 115.81
_cell_angle_beta 115.81
_cell_angle_gamma 43.57
loop_
_atom_site_label
_atom_site_type_symbol
_atom_site_fract_x
_atom_site_fract_y
_atom_site_fract_z
Er1 Er 0.186 0.186 0.117
Er2 Er 0.814 0.814 0.883
Ge1 Ge 0.485 0.485 0.126
Ge2 Ge 0.515 0.515 0.874
Lu1 Lu 0.995 0.995 0.328
Lu2 Lu 0.005 0.005 0.672
Os1 Os 0.735 0.735 0.375
Os2 Os 0.265 0.265 0.625
Si1 Si 0.360 0.360 0.441
Si2 Si 0.640 0.640 0.559
```

## Properties
**Magnetization**: 0.0 μB/f.u.

***

Version ii
The following is a GGA-PBE calculation of a relaxed structure of ErLuSiGeOs, from OQMD via LeMat-Bulk.

```
data_ErLuSiGeOs
_symmetry_space_group_name_H-M 'P 1'
_symmetry_Int_Tables_number 1
_symmetry_space_group_name_Hall 'P 1'
_cell_length_a 5.681
_cell_length_b 5.681
_cell_length_c 9.982
_cell_angle_alpha 116.18
_cell_angle_beta 116.18
_cell_angle_gamma 43.36
loop_
_atom_site_label
_atom_site_type_symbol
_atom_site_fract_x
_atom_site_fract_y
_atom_site_fract_z
Er1 Er 0.007 0.007 0.175
Er2 Er 0.993 0.993 0.825
Ge1 Ge 0.516 0.516 0.377
Ge2 Ge 0.484 0.484 0.623
Lu1 Lu 0.816 0.816 0.383
Lu2 Lu 0.184 0.184 0.617
Os1 Os 0.267 0.267 0.127
Os2 Os 0.733 0.733 0.873
Si1 Si 0.642 0.642 0.060
Si2 Si 0.358 0.358 0.940
```

## Properties
**Magnetization**: 0.0 μB/f.u.

***

On energetic grounds, version i is preferred over the next structure by 0.017 eV/atom.

***

Version i
The following is a GGA-PBE calculation of a relaxed structure of ErGeNO, from OQMD via LeMat-Bulk.

```
data_ErGeNO
_symmetry_space_group_name_H-M 'P 1'
_symmetry_Int_Tables_number 1
_symmetry_space_group_name_Hall 'P 1'
_cell_length_a 5.410
_cell_length_b 6.650
_cell_length_c 6.349
_cell_angle_alpha 90.00
_cell_angle_beta 90.00
_cell_angle_gamma 90.00
loop_
_atom_site_label
_atom_site_type_symbol
_atom_site_fract_x
_atom_site_fract_y
_atom_site_fract_z
Er1 Er 0.973 0.829 0.074
Er2 Er 0.473 0.829 0.426
Er3 Er 0.973 0.171 0.574
Er4 Er 0.473 0.171 0.926
Ge1 Ge 0.972 0.328 0.113
Ge2 Ge 0.472 0.328 0.387
Ge3 Ge 0.972 0.672 0.613
Ge4 Ge 0.472 0.672 0.887
N1 N 0.559 0.874 0.086
N2 N 0.059 0.874 0.414
N3 N 0.559 0.126 0.586
N4 N 0.059 0.126 0.914
O1 O 0.199 0.545 0.053
O2 O 0.699 0.545 0.447
O3 O 0.199 0.455 0.553
O4 O 0.699 0.455 0.947
```

## Properties
**Magnetization**: 0.0 μB/f.u.

***

Version ii
The following is a GGA-PBE calculation of a relaxed structure of ErGeNO, from OQMD via LeMat-Bulk.

```
data_ErGeNO
_symmetry_space_group_name_H-M 'P 1'
_symmetry_Int_Tables_number 1
_symmetry_space_group_name_Hall 'P 1'
_cell_length_a 3.993
_cell_length_b 3.993
_cell_length_c 7.147
_cell_angle_alpha 90.00
_cell_angle_beta 90.00
_cell_angle_gamma 90.00
loop_
_atom_site_label
_atom_site_type_symbol
_atom_site_fract_x
_atom_site_fract_y
_atom_site_fract_z
Er1 Er 0.250 0.250 0.139
Er2 Er 0.750 0.750 0.861
Ge1 Ge 0.750 0.250 0.500
Ge2 Ge 0.250 0.750 0.500
N1 N 0.750 0.750 0.372
N2 N 0.250 0.250 0.628
O1 O 0.750 0.250 0.000
O2 O 0.250 0.750 0.000
```

## Properties
**Magnetization**: 0.0 μB/f.u.

***

On energetic grounds, version i is preferred over the next structure by 0.276 eV/atom.

***

Version i
The following is a GGA-PBE calculation of a relaxed structure of ErGeNO, from OQMD via LeMat-Bulk.

```
data_ErGeNO
_symmetry_space_group_name_H-M 'P 1'
_symmetry_Int_Tables_number 1
_symmetry_space_group_name_Hall 'P 1'
_cell_length_a 3.822
_cell_length_b 4.922
_cell_length_c 6.488
_cell_angle_alpha 90.00
_cell_angle_beta 90.00
_cell_angle_gamma 90.00
loop_
_atom_site_label
_atom_site_type_symbol
_atom_site_fract_x
_atom_site_fract_y
_atom_site_fract_z
Er1 Er 0.500 0.962 0.201
Er2 Er 0.500 0.462 0.799
Ge1 Ge 0.000 0.439 0.330
Ge2 Ge 0.000 0.939 0.670
N1 N 0.000 0.820 0.374
N2 N 0.000 0.320 0.626
O1 O 0.500 0.533 0.123
O2 O 0.500 0.033 0.877
```

## Properties
**Magnetization**: 0.0 μB/f.u.

***

Version ii
The following is a GGA-PBE calculation of a relaxed structure of ErGeNO, from OQMD via LeMat-Bulk.

```
data_ErGeNO
_symmetry_space_group_name_H-M 'P 1'
_symmetry_Int_Tables_number 1
_symmetry_space_group_name_Hall 'P 1'
_cell_length_a 4.714
_cell_length_b 4.714
_cell_length_c 4.827
_cell_angle_alpha 90.00
_cell_angle_beta 90.00
_cell_angle_gamma 90.00
loop_
_atom_site_label
_atom_site_type_symbol
_atom_site_fract_x
_atom_site_fract_y
_atom_site_fract_z
Er1 Er 0.750 0.250 0.500
Er2 Er 0.250 0.750 0.500
Ge1 Ge 0.750 0.750 0.010
Ge2 Ge 0.250 0.250 0.990
N1 N 0.750 0.750 0.405
N2 N 0.250 0.250 0.595
O1 O 0.750 0.250 0.000
O2 O 0.250 0.750 0.000
```

## Properties
**Magnetization**: 0.0 μB/f.u.

***

Version iii
The following is a GGA-PBE calculation of a relaxed structure of ErGeNO, from OQMD via LeMat-Bulk.

```
data_ErGeNO
_symmetry_space_group_name_H-M 'P 1'
_symmetry_Int_Tables_number 1
_symmetry_space_group_name_Hall 'P 1'
_cell_length_a 3.242
_cell_length_b 6.006
_cell_length_c 5.473
_cell_angle_alpha 90.00
_cell_angle_beta 90.00
_cell_angle_gamma 90.00
loop_
_atom_site_label
_atom_site_type_symbol
_atom_site_fract_x
_atom_site_fract_y
_atom_site_fract_z
Er1 Er 0.000 0.548 0.372
Er2 Er 0.000 0.048 0.628
Ge1 Ge 0.500 0.039 0.107
Ge2 Ge 0.500 0.539 0.893
N1 N 0.000 0.908 0.232
N2 N 0.000 0.408 0.768
O1 O 0.500 0.259 0.388
O2 O 0.500 0.759 0.612
```

## Properties
**Magnetization**: 0.0 μB/f.u.

***

On energetic grounds, version iii is preferred over the next structure by 0.136 eV/atom.

***

Version i
The following is a GGA-PBE calculation of a relaxed structure of ErSiNiGe2, from OQMD via LeMat-Bulk.

```
data_ErSiNiGe2
_symmetry_space_group_name_H-M 'P 1'
_symmetry_Int_Tables_number 1
_symmetry_space_group_name_Hall 'P 1'
_cell_length_a 10.929
_cell_length_b 10.929
_cell_length_c 4.066
_cell_angle_alpha 90.00
_cell_angle_beta 90.00
_cell_angle_gamma 159.02
loop_
_atom_site_label
_atom_site_type_symbol
_atom_site_fract_x
_atom_site_fract_y
_atom_site_fract_z
Er1 Er 0.833 0.167 0.000
Er2 Er 0.167 0.833 0.000
Ge1 Ge 0.557 0.443 0.000
Ge2 Ge 0.443 0.557 0.000
Ge3 Ge 0.716 0.284 0.500
Ge4 Ge 0.284 0.716 0.500
Ni1 Ni 0.609 0.391 0.500
Ni2 Ni 0.391 0.609 0.500
Si1 Si 0.944 0.056 0.500
Si2 Si 0.056 0.944 0.500
```

## Properties
**Magnetization**: 0.0 μB/f.u.

***

Version ii
The following is a GGA-PBE calculation of a relaxed structure of ErSiNiGe2, from OQMD via LeMat-Bulk.

```
data_ErSiNiGe2
_symmetry_space_group_name_H-M 'P 1'
_symmetry_Int_Tables_number 1
_symmetry_space_group_name_Hall 'P 1'
_cell_length_a 10.879
_cell_length_b 10.879
_cell_length_c 4.044
_cell_angle_alpha 90.00
_cell_angle_beta 90.00
_cell_angle_gamma 158.62
loop_
_atom_site_label
_atom_site_type_symbol
_atom_site_fract_x
_atom_site_fract_y
_atom_site_fract_z
Er1 Er 0.828 0.172 0.000
Er2 Er 0.172 0.828 0.000
Ge1 Ge 0.558 0.442 0.000
Ge2 Ge 0.442 0.558 0.000
Ge3 Ge 0.942 0.058 0.500
Ge4 Ge 0.058 0.942 0.500
Ni1 Ni 0.615 0.385 0.500
Ni2 Ni 0.385 0.615 0.500
Si1 Si 0.720 0.280 0.500
Si2 Si 0.280 0.720 0.500
```

## Properties
**Magnetization**: 0.0 μB/f.u.

***

On energetic grounds, version ii is preferred over the next structure by 0.008 eV/atom.